(1)
First-principles (PBE) data for a geometry-optimized FeIr3Rh4 structure, as listed in Alexandria.

Output
- ΔH_f (0 K): 0.24 eV/atom
- Energy above the most stable polymorph in this dataset: 0.0000 eV per atom
- Crystal system: orthorhombic
- SG: No. 71
- Density: 14.78 g cm⁻³

extended XYZ file:
```
8
Lattice="-1.337 2.565 8.546 1.337 -2.565 8.546 1.337 2.565 -8.546" Properties=species:S:1:pos:R:3 pbc="T T T"
Fe 0.000 0.000 0.000
Ir 1.337 0.000 4.019
Ir 0.000 0.000 8.546
Ir 0.000 2.565 4.527
Rh 1.337 -1.261 6.448
Rh 0.000 1.304 2.098
Rh 1.337 1.261 6.448
Rh 0.000 3.826 2.098
```

(2)
First-principles (PBE) data for a geometry-optimized Cd3HgTe4 structure, as listed in Alexandria.

Output
- Raw formation energy: -0.39 eV per atom
- Crystal system: tetragonal
- SG: No. 115
- Density: 6.00 g cm⁻³

extended XYZ file:
```
8
Lattice="4.681 0.000 0.000 0.000 4.681 0.000 0.000 0.000 13.245" Properties=species:S:1:pos:R:3 pbc="T T T"
Cd 0.000 0.000 0.000
Cd 2.341 2.341 3.302
Cd 2.341 2.341 9.943
Hg 0.000 0.000 6.622
Te 0.000 2.341 1.650
Te 0.000 2.341 8.294
Te 2.341 0.000 4.951
Te 2.341 0.000 11.594
```

(3)
First-principles (PBE) data for a geometry-optimized ZrTi2Rh structure, as listed in Alexandria.

Output
- ΔH_f (0 K): -0.31 eV/atom
- Energy above the most stable polymorph in this dataset: 0.0985 eV per atom
- Crystal system: orthorhombic
- SG: No. 63
- Density: 6.71 g cm⁻³

extended XYZ file:
```
8
Lattice="1.525 -10.030 0.000 1.525 10.030 0.000 0.000 0.000 4.689" Properties=species:S:1:pos:R:3 pbc="T T T"
Zr 1.525 7.765 3.517
Zr 1.525 -7.765 1.172
Ti 1.525 5.045 1.172
Ti 1.525 0.506 3.517
Ti 1.525 -0.506 1.172
Ti 1.525 -5.045 3.517
Rh 1.525 2.978 3.517
Rh 1.525 -2.978 1.172
```

(4)
First-principles (PBE) data for a geometry-optimized MgNi2Pt9 structure, as listed in Alexandria.

Output
- ΔH_f (0 K): -0.25 eV/atom
- Crystal system: tetragonal
- SG: No. 123
- Density: 17.57 g cm⁻³

extended XYZ file:
```
12
Lattice="3.906 0.000 0.000 0.000 3.906 0.000 0.000 0.000 11.755" Properties=species:S:1:pos:R:3 pbc="T T T"
Mg 0.000 0.000 0.000
Ni 0.000 0.000 3.980
Ni 0.000 0.000 7.775
Pt 0.000 1.953 2.019
Pt 0.000 1.953 5.877
Pt 0.000 1.953 9.736
Pt 1.953 0.000 2.019
Pt 1.953 0.000 5.877
Pt 1.953 0.000 9.736
Pt 1.953 1.953 0.000
Pt 1.953 1.953 3.936
Pt 1.953 1.953 7.819
```

(5)
First-principles (PBE) data for a geometry-optimized LaPr2H structure, as listed in Alexandria.

Output
- Energy above the most stable polymorph in this dataset: 0.2524 eV per atom
- Crystal system: tetragonal
- SG: No. 123
- Density: 6.57 g cm⁻³

extended XYZ file:
```
4
Lattice="3.445 0.000 0.000 0.000 3.445 0.000 0.000 0.000 8.978" Properties=species:S:1:pos:R:3 pbc="T T T"
La 0.000 0.000 0.000
Pr 1.723 1.723 2.868
Pr 1.723 1.723 6.110
H 0.000 0.000 4.489
```

(6)
First-principles (PBE) data for a geometry-optimized B2RhSe structure, as listed in Alexandria.

Output
- Raw formation energy: 0.33 eV per atom
- Crystal system: tetragonal
- SG: No. 122
- Density: 6.06 g cm⁻³

extended XYZ file:
```
8
Lattice="-2.463 2.463 4.593 2.463 -2.463 4.593 2.463 2.463 -4.593" Properties=species:S:1:pos:R:3 pbc="T T T"
B 3.695 1.169 -1.148
B 1.169 1.232 1.148
B -1.232 1.294 3.445
B 1.294 1.232 5.741
Rh 0.000 0.000 0.000
Rh 0.000 2.463 2.296
Se 2.463 0.000 2.296
Se 0.000 0.000 4.593
```

(7)
First-principles (PBE) data for a geometry-optimized Co3ReSe structure, as listed in Alexandria.

Output
- Energy above the most stable polymorph in this dataset: 0.3047 eV per atom
- Raw formation energy: 1.51 eV per atom
- Crystal system: cubic
- SG: No. 221
- Density: 8.26 g cm⁻³

extended XYZ file:
```
5
Lattice="4.462 0.000 0.000 0.000 4.462 0.000 0.000 0.000 4.462" Properties=species:S:1:pos:R:3 pbc="T T T"
Co 0.000 0.000 2.231
Co 0.000 2.231 0.000
Co 2.231 0.000 0.000
Re 0.000 0.000 0.000
Se 2.231 2.231 2.231
```

(8)
First-principles (PBE) data for a geometry-optimized BeTl3 structure, as listed in Alexandria.

Output
- ΔH_f (0 K): 0.40 eV/atom
- Energy above the most stable polymorph in this dataset: 0.0822 eV per atom
- Crystal system: trigonal
- SG: No. 166
- Density: 10.18 g cm⁻³

extended XYZ file:
```
4
Lattice="1.768 1.021 9.369 -1.768 1.021 9.369 0.000 -2.042 9.369" Properties=species:S:1:pos:R:3 pbc="T T T"
Be 0.000 0.000 0.000
Tl 0.000 0.000 7.509
Tl 0.000 0.000 14.054
Tl 0.000 0.000 20.599
```